Record 1
A plane-wave DFT calculation with GGA-PBE was carried out for crystalline KGd at its relaxed geometry.

Symmetry: F-43m (216)
Excess energy over the best structure of this formula in the dataset: 1.343 eV/atom
Calculated total energy: -1.05 eV/atom

a = 6.105 Å, b = 6.105 Å, c = 6.105 Å
α = 60.00°, β = 60.00°, γ = 60.00°
Each line ends with the local moment (μB).
Fractional positions:
1 Gd 0.000 0.000 0.000  0.85
2 K 0.250 0.250 0.250  0.04


Record 2
A plane-wave DFT calculation with GGA-PBE was carried out for crystalline TbHSe at its relaxed geometry.

Symmetry: P-6m2 (187)
Calculated total energy: -5.29 eV/atom

a = 3.851 Å, b = 3.851 Å, c = 3.917 Å
α = 90.00°, β = 90.00°, γ = 120.00°
Fractional positions:
1 H 0.667 0.333 0.000
2 Se 0.333 0.667 0.500
3 Tb 0.000 0.000 0.000


Record 3
A plane-wave DFT calculation with GGA-PBE was carried out for crystalline DyGeTe at its relaxed geometry.

Symmetry: F-43m (216)
Calculated total energy: -4.46 eV/atom

a = 5.031 Å, b = 5.031 Å, c = 5.031 Å
α = 60.00°, β = 60.00°, γ = 60.00°
Fractional positions:
1 Dy 0.000 0.000 0.000
2 Ge 0.250 0.250 0.250
3 Te 0.750 0.750 0.750